{"formula": "ZnCoMo3", "functional": "PBE", "state": "optimized geometry", "cell": [[4.4943, 0.0000, 0.0000], [0.0000, 4.4943, 0.0000], [0.0000, 0.0000, 4.4943]], "species": ["Zn", "Co", "Mo", "Mo", "Mo"], "frac_coords": [[0.0000, 0.0000, 0.0000], [0.5000, 0.5000, 0.5000], [0.0000, 0.0000, 0.5000], [0.0000, 0.5000, 0.0000], [0.5000, 0.0000, 0.0000]], "ef_kj_per_mol_fu": 953, "de_polymorph_ev_per_fu": 4.03, "crystal_system": "cubic", "total_energy_ev_per_cell": -30.99}

{"formula": "AcScH8Rh2", "functional": "PBE", "state": "optimized geometry", "cell": [[2.4216, 1.3981, 6.1405], [-2.4216, 1.3981, 6.1405], [0.0000, -2.7963, 6.1405]], "species": ["Ac", "Sc", "H", "H", "H", "H", "H", "H", "H", "H", "Rh", "Rh"], "frac_coords": [[0.0000, 0.0000, 0.0000], [0.5000, 0.5000, 0.5000], [0.1013, 0.8216, 0.4054], [0.1784, 0.5946, 0.8987], [0.3100, 0.3100, 0.3100], [0.4054, 0.1013, 0.8216], [0.5946, 0.8987, 0.1784], [0.6900, 0.6900, 0.6900], [0.8216, 0.4054, 0.1013], [0.8987, 0.1784, 0.5946], [0.2221, 0.2221, 0.2221], [0.7779, 0.7779, 0.7779]], "crystal_system": "trigonal", "total_energy_ev_per_cell": -55.82}

{"formula": "Zr2IrAu", "functional": "PBE", "state": "optimized geometry", "cell": [[3.5541, 0.0000, 0.0000], [0.0000, 3.5541, 0.0000], [0.0000, 0.0000, 6.1430]], "species": ["Zr", "Zr", "Ir", "Au"], "frac_coords": [[0.0000, 0.0000, 0.0000], [0.5000, 0.5000, 0.3118], [0.5000, 0.5000, 0.8093], [0.0000, 0.0000, 0.5299]], "ef_kj_per_mol_fu": -177, "crystal_system": "tetragonal", "total_energy_ev_per_cell": -31.07}

{"formula": "Ba2ZrFe", "functional": "PBE", "state": "optimized geometry", "cell": [[4.6953, 0.0000, 0.0000], [0.0000, 4.6953, 0.0000], [0.0000, 0.0000, 11.1853]], "species": ["Ba", "Ba", "Ba", "Ba", "Zr", "Zr", "Fe", "Fe"], "frac_coords": [[0.0000, 0.5000, 0.2500], [0.0000, 0.5000, 0.7500], [0.5000, 0.0000, 0.2500], [0.5000, 0.0000, 0.7500], [0.0000, 0.0000, 0.0000], [0.5000, 0.5000, 0.5000], [0.0000, 0.0000, 0.5000], [0.5000, 0.5000, 0.0000]], "ef_kj_per_mol_fu": 374, "de_polymorph_ev_per_fu": 2.34, "crystal_system": "tetragonal", "total_energy_ev_per_cell": -33.97}

{"formula": "LiTa2Ag", "functional": "PBE", "state": "optimized geometry", "cell": [[2.9101, 0.0000, 0.0000], [0.0000, 5.0184, 0.0000], [0.0000, 0.0000, 9.3208]], "species": ["Li", "Li", "Ta", "Ta", "Ta", "Ta", "Ag", "Ag"], "frac_coords": [[0.0000, 0.0000, 0.0000], [0.5000, 0.5000, 0.5000], [0.0000, 0.0000, 0.5147], [0.0000, 0.5000, 0.7622], [0.5000, 0.0000, 0.2622], [0.5000, 0.5000, 0.0147], [0.0000, 0.5000, 0.2823], [0.5000, 0.0000, 0.7823]], "ef_kj_per_mol_fu": 161, "de_polymorph_ev_per_fu": 1.08, "crystal_system": "orthorhombic", "total_energy_ev_per_cell": -53.60}

{"formula": "CaHoNi", "functional": "PBE", "state": "optimized geometry", "cell": [[3.7556, 0.0000, 0.0000], [0.0000, 4.0255, 0.0000], [-1.8662, 0.0000, 10.6336]], "species": ["Ca", "Ca", "Ho", "Ho", "Ni", "Ni"], "frac_coords": [[0.1841, 0.2500, 0.3685], [0.8159, 0.7500, 0.6315], [0.4336, 0.2500, 0.8666], [0.5664, 0.7500, 0.1334], [0.0359, 0.2500, 0.0730], [0.9641, 0.7500, 0.9270]], "ef_kj_per_mol_fu": -83, "de_polymorph_ev_per_fu": 0.00, "crystal_system": "monoclinic", "total_energy_ev_per_cell": -26.44}

{"formula": "HoThPaSn", "functional": "PBE", "state": "optimized geometry", "cell": [[7.6398, 0.0000, 0.0000], [0.0000, 7.6398, 0.0000], [0.0000, 0.0000, 7.6398]], "species": ["Ho", "Ho", "Ho", "Ho", "Th", "Th", "Th", "Th", "Pa", "Pa", "Pa", "Pa", "Sn", "Sn", "Sn", "Sn"], "frac_coords": [[0.0000, 0.0000, 0.0000], [0.0000, 0.5000, 0.5000], [0.5000, 0.0000, 0.5000], [0.5000, 0.5000, 0.0000], [0.0000, 0.0000, 0.5000], [0.0000, 0.5000, 0.0000], [0.5000, 0.0000, 0.0000], [0.5000, 0.5000, 0.5000], [0.2500, 0.2500, 0.7500], [0.2500, 0.7500, 0.2500], [0.7500, 0.2500, 0.2500], [0.7500, 0.7500, 0.7500], [0.2500, 0.2500, 0.2500], [0.2500, 0.7500, 0.7500], [0.7500, 0.2500, 0.7500], [0.7500, 0.7500, 0.2500]], "ef_kj_per_mol_fu": 16, "crystal_system": "cubic", "total_energy_ev_per_cell": -101.32}

{"formula": "Ba2Na2Sb", "functional": "PBE", "state": "optimized geometry", "cell": [[4.4811, 0.0000, 0.0000], [0.0000, 4.4811, 0.0000], [0.0000, 0.0000, 22.0105]], "species": ["Ba", "Ba", "Ba", "Ba", "Na", "Na", "Na", "Na", "Sb", "Sb"], "frac_coords": [[0.0000, 0.0000, 0.0813], [0.0000, 0.0000, 0.9187], [0.5000, 0.5000, 0.4187], [0.5000, 0.5000, 0.5813], [0.0000, 0.5000, 0.2500], [0.0000, 0.5000, 0.7500], [0.5000, 0.0000, 0.2500], [0.5000, 0.0000, 0.7500], [0.0000, 0.0000, 0.5000], [0.5000, 0.5000, 0.0000]], "formation_energy_uncorrected_ev_per_atom": -0.3901, "de_polymorph_ev_per_fu": 0.00, "crystal_system": "tetragonal", "total_energy_ev_per_cell": -25.11}